Material: SiOsF2
Method: DFT, PBE-GGA
State: relaxed

Cell lengths 4.187, 4.187, 4.187 Å; angles 60.00, 60.00, 60.00 degrees
Fractional coordinates of all 4 atoms:
Si  0.000  0.000  0.000
Os  0.500  0.500  0.500
F  0.250  0.250  0.250
F  0.750  0.750  0.750

## Properties
total moment: 2.567 μB/cell
uncorrected energy: -19.0 eV per cell